Version one
First-principles (GGA-PBE) data for an optimized crystal structure of CoNi4Pt, as listed in Alexandria.

a = 4.088 Å, b = 4.274 Å, c = 8.656 Å
α = 104.29°, β = 103.64°, γ = 90.00°
Site moments in Bohr magnetons follow the coordinates.
Positions (direct):
Co  0.750  0.679  0.000  1.79
Co  0.250  0.321  0.000  1.79
Ni  0.403  0.450  0.305  0.68
Ni  0.327  0.893  0.153  0.71
Ni  0.903  0.856  0.305  0.68
Ni  0.827  0.259  0.153  0.71
Ni  0.673  0.107  0.847  0.71
Ni  0.597  0.550  0.695  0.68
Ni  0.173  0.741  0.847  0.71
Ni  0.097  0.144  0.695  0.68
Pt  0.500  0.000  0.500  0.27
Pt  0.000  0.500  0.500  0.27

Version two
First-principles (GGA-PBE) data for an optimized crystal structure of CoNi4Pt, as listed in Alexandria.

a = 4.241 Å, b = 4.236 Å, c = 8.479 Å
α = 104.52°, β = 104.48°, γ = 90.00°
Site moments in Bohr magnetons follow the coordinates.
Positions (direct):
Co  0.500  0.000  0.500  1.88
Co  0.000  0.500  0.500  1.88
Ni  0.643  0.156  0.813  0.66
Ni  0.830  0.344  0.187  0.66
Ni  0.357  0.844  0.187  0.66
Ni  0.170  0.656  0.813  0.66
Ni  0.070  0.079  0.657  0.71
Ni  0.413  0.421  0.343  0.71
Ni  0.930  0.921  0.343  0.71
Ni  0.587  0.579  0.657  0.71
Pt  0.763  0.750  0.000  0.31
Pt  0.237  0.250  0.000  0.31

Version three
First-principles (GGA-PBE) data for an optimized crystal structure of CoNi4Pt, as listed in Alexandria.

a = 4.665 Å, b = 4.665 Å, c = 4.665 Å
α = 60.00°, β = 60.00°, γ = 60.00°
Site moments in Bohr magnetons follow the coordinates.
Positions (direct):
Co  0.000  0.000  0.000  1.95
Ni  0.875  0.375  0.375  0.61
Ni  0.375  0.375  0.875  0.61
Ni  0.375  0.875  0.375  0.61
Ni  0.375  0.375  0.375  0.61
Pt  0.750  0.750  0.750  0.23

Energetically preferred structure: version one | next structure: +0.020 eV/atom

Version one
First-principles (GGA-PBE) data for an optimized crystal structure of Co4Ni5Pt2, as listed in Alexandria.

a = 4.704 Å, b = 5.242 Å, c = 6.594 Å
α = 76.79°, β = 69.11°, γ = 63.35°
Site moments in Bohr magnetons follow the coordinates.
Positions (direct):
Co  0.252  0.045  0.451  1.75
Co  0.748  0.955  0.549  1.75
Co  0.746  0.617  0.892  1.81
Co  0.254  0.383  0.108  1.81
Ni  0.260  0.139  0.828  0.76
Ni  0.740  0.861  0.172  0.76
Ni  0.000  0.500  0.500  0.77
Ni  0.773  0.139  0.828  0.76
Ni  0.227  0.861  0.172  0.76
Pt  0.331  0.624  0.714  0.36
Pt  0.669  0.376  0.286  0.36

Version two
First-principles (GGA-PBE) data for an optimized crystal structure of Co4Ni5Pt2, as listed in Alexandria.

a = 4.577 Å, b = 4.635 Å, c = 6.762 Å
α = 110.04°, β = 92.65°, γ = 90.00°
Site moments in Bohr magnetons follow the coordinates.
Positions (direct):
Co  0.617  0.420  0.839  1.84
Co  0.383  0.580  0.161  1.84
Co  0.106  0.738  0.476  1.79
Co  0.894  0.262  0.524  1.79
Ni  0.103  0.164  0.826  0.71
Ni  0.897  0.836  0.174  0.71
Ni  0.500  0.000  0.000  0.61
Ni  0.103  0.662  0.826  0.71
Ni  0.897  0.338  0.174  0.71
Pt  0.386  0.190  0.379  0.35
Pt  0.614  0.810  0.621  0.35

Energetically preferred structure: version two | next structure: +0.050 eV/atom